Entry P
The following is a PBE calculation of a geometry-optimized KLaW structure, from the Alexandria database.

a = 7.4117 Å, b = 7.4117 Å, c = 7.4117 Å
α = 90.00°, β = 90.00°, γ = 90.00°
Closest atoms and distances in Å follow each position.
Fractional coordinates of all 12 atoms:
1 K 0.0000 0.0000 0.0000  4 W 3.21
2 K 0.0000 0.5000 0.5000  4 W 3.21
3 K 0.5000 0.0000 0.5000  4 W 3.21
4 K 0.5000 0.5000 0.0000  4 W 3.21
5 La 0.0000 0.0000 0.5000  4 W 3.21
6 La 0.0000 0.5000 0.0000  4 W 3.21
7 La 0.5000 0.0000 0.0000  4 W 3.21
8 La 0.5000 0.5000 0.5000  4 W 3.21
9 W 0.2500 0.2500 0.2500  4 La 3.21, 4 K 3.21
10 W 0.2500 0.7500 0.7500  4 La 3.21, 4 K 3.21
11 W 0.7500 0.2500 0.7500  4 La 3.21, 4 K 3.21
12 W 0.7500 0.7500 0.2500  4 La 3.21, 4 K 3.21

SG: F-43m
D(E_F) in states/eV/cell: 14.23
Calculated density in g cm⁻³: 5.90


Entry Q
The following is a PBE calculation of a geometry-optimized KLaW structure, from the Alexandria database.

a = 3.6257 Å, b = 5.2802 Å, c = 18.0350 Å
α = 90.00°, β = 90.00°, γ = 90.00°
Closest atoms and distances in Å follow each position.
Fractional coordinates of all 12 atoms:
1 K 0.0000 0.0000 0.0000  4 K 3.20, 2 W 3.42
2 K 0.0000 0.5000 0.5000  4 K 3.20, 2 W 3.42
3 K 0.5000 0.0000 0.5000  4 K 3.20, 2 W 3.42
4 K 0.5000 0.5000 0.0000  4 K 3.20, 2 W 3.42
5 La 0.0000 0.0000 0.2819  2 W 2.84
6 La 0.0000 0.5000 0.7819  2 W 2.84
7 La 0.5000 0.0000 0.7819  2 W 2.84
8 La 0.5000 0.5000 0.2819  2 W 2.84
9 W 0.0000 0.0000 0.6610  2 La 2.84
10 W 0.0000 0.5000 0.1610  2 La 2.84
11 W 0.5000 0.0000 0.1610  2 La 2.84
12 W 0.5000 0.5000 0.6610  2 La 2.84

SG: Fmm2
D(E_F) in states/eV/cell: 10.37
Calculated density in g cm⁻³: 6.96


Relative energies in eV/atom: entry P 0.705; entry Q 0.000


Entry P
The following is a PBE calculation of a geometry-optimized KLa2Y structure, from the Alexandria database.

a = 3.7300 Å, b = 3.7300 Å, c = 40.2766 Å
α = 90.00°, β = 90.00°, γ = 120.00°
Closest atoms and distances in Å follow each position.
Fractional coordinates of all 12 atoms:
1 K 0.0000 0.0000 0.0000  6 K 3.73
2 K 0.3333 0.6667 0.6667  6 K 3.73
3 K 0.6667 0.3333 0.3333  6 K 3.73
4 La 0.0000 0.0000 0.2385  3 Y 3.61, 6 La 3.73
5 La 0.0000 0.0000 0.7615  3 Y 3.61, 6 La 3.73
6 La 0.3333 0.6667 0.4281  3 Y 3.61, 6 La 3.73
7 La 0.3333 0.6667 0.9052  3 Y 3.61, 6 La 3.73
8 La 0.6667 0.3333 0.0948  3 Y 3.61, 6 La 3.73
9 La 0.6667 0.3333 0.5719  3 Y 3.61, 6 La 3.73
10 Y 0.0000 0.0000 0.5000  6 La 3.61, 6 Y 3.73
11 Y 0.3333 0.6667 0.1667  6 La 3.61, 6 Y 3.73
12 Y 0.6667 0.3333 0.8333  6 La 3.61, 6 Y 3.73

SG: R-3m
D(E_F) in states/eV/cell: 10.80
Calculated density in g cm⁻³: 4.17


Entry Q
The following is a PBE calculation of a geometry-optimized KLa2Y structure, from the Alexandria database.

a = 4.0115 Å, b = 6.0917 Å, c = 13.2808 Å
α = 90.00°, β = 90.00°, γ = 90.00°
Closest atoms and distances in Å follow each position.
Fractional coordinates of all 8 atoms:
1 K 0.0000 0.0000 0.0000  6 K 3.65-4.01
2 K 0.5000 0.5000 0.0000  6 K 3.65-4.01
3 La 0.0000 0.5000 0.2861  2 Y 3.48, 4 La 3.65
4 La 0.0000 0.5000 0.7139  2 Y 3.48, 4 La 3.65
5 La 0.5000 0.0000 0.2861  2 Y 3.48, 4 La 3.65
6 La 0.5000 0.0000 0.7139  2 Y 3.48, 4 La 3.65
7 Y 0.0000 0.0000 0.5000  4 La 3.48, 4 Y 3.65
8 Y 0.5000 0.5000 0.5000  4 La 3.48, 4 Y 3.65

SG: Cmmm
D(E_F) in states/eV/cell: 12.32
Calculated density in g cm⁻³: 4.15


Relative energies in eV/atom: entry P 0.000; entry Q 0.055


Entry P
The following is a PBE calculation of a geometry-optimized KLa2Y structure, from the Alexandria database.

a = 12.4930 Å, b = 3.6135 Å, c = 7.1740 Å
α = 90.00°, β = 96.52°, γ = 90.00°
Closest atoms and distances in Å follow each position.
Fractional coordinates of all 8 atoms:
1 K 0.0000 0.0000 0.0000  2 K 3.61, 2 La 3.86, 4 Y 4.02
2 K 0.5000 0.5000 0.0000  2 K 3.61, 2 La 3.86, 4 Y 4.02
3 La 0.2409 0.0000 0.7082  4 La 3.52-3.61, 3 Y 3.68-3.72, 1 K 3.86
4 La 0.2591 0.5000 0.2918  4 La 3.52-3.61, 3 Y 3.68-3.72, 1 K 3.86
5 La 0.7409 0.5000 0.7082  4 La 3.52-3.61, 3 Y 3.68-3.72, 1 K 3.86
6 La 0.7591 0.0000 0.2918  4 La 3.52-3.61, 3 Y 3.68-3.72, 1 K 3.86
7 Y 0.0000 0.5000 0.5000  2 Y 3.61, 6 La 3.68-3.72, 4 K 4.02
8 Y 0.5000 0.0000 0.5000  2 Y 3.61, 6 La 3.68-3.72, 4 K 4.02

SG: C2/m
D(E_F) in states/eV/cell: 13.66
Calculated density in g cm⁻³: 4.19


Entry Q
The following is a PBE calculation of a geometry-optimized KLa2Y structure, from the Alexandria database.

a = 3.7059 Å, b = 4.9918 Å, c = 9.0370 Å
α = 90.00°, β = 90.00°, γ = 90.00°
Closest atoms and distances in Å follow each position.
Fractional coordinates of all 4 atoms:
1 K 0.0000 0.0000 0.0000  2 K 3.71, 4 Y 4.14
2 La 0.0000 0.0000 0.5111  6 La 3.49-3.71, 4 Y 3.64
3 La 0.5000 0.5000 0.6863  1 Y 3.47, 6 La 3.49-3.71
4 Y 0.5000 0.5000 0.3019  5 La 3.47-3.64, 2 Y 3.71

SG: Pmm2
D(E_F) in states/eV/cell: 5.88
Calculated density in g cm⁻³: 4.03


Relative energies in eV/atom: entry P 0.009; entry Q 0.000


Entry P
The following is a PBE calculation of a geometry-optimized KLa2Y structure, from the Alexandria database.

a = 8.5834 Å, b = 8.5834 Å, c = 8.5834 Å
α = 90.00°, β = 90.00°, γ = 90.00°
Closest atoms and distances in Å follow each position.
Fractional coordinates of all 16 atoms:
1 K 0.0000 0.0000 0.0000  4 Y 3.72, 4 La 3.72
2 K 0.0000 0.5000 0.5000  4 Y 3.72, 4 La 3.72
3 K 0.5000 0.0000 0.5000  4 Y 3.72, 4 La 3.72
4 K 0.5000 0.5000 0.0000  4 Y 3.72, 4 La 3.72
5 La 0.0000 0.0000 0.5000  4 La 3.72, 4 Y 3.72
6 La 0.0000 0.5000 0.0000  4 La 3.72, 4 Y 3.72
7 La 0.2500 0.2500 0.7500  4 La 3.72, 4 K 3.72
8 La 0.2500 0.7500 0.2500  4 La 3.72, 4 K 3.72
9 La 0.5000 0.0000 0.0000  4 La 3.72, 4 Y 3.72
10 La 0.5000 0.5000 0.5000  4 La 3.72, 4 Y 3.72
11 La 0.7500 0.2500 0.2500  4 La 3.72, 4 K 3.72
12 La 0.7500 0.7500 0.7500  4 La 3.72, 4 K 3.72
13 Y 0.2500 0.2500 0.2500  4 La 3.72, 4 K 3.72
14 Y 0.2500 0.7500 0.7500  4 La 3.72, 4 K 3.72
15 Y 0.7500 0.2500 0.7500  4 La 3.72, 4 K 3.72
16 Y 0.7500 0.7500 0.2500  4 La 3.72, 4 K 3.72

SG: F-43m
D(E_F) in states/eV/cell: 21.14
Calculated density in g cm⁻³: 4.26


Entry Q
The following is a PBE calculation of a geometry-optimized KLa2Y structure, from the Alexandria database.

a = 6.3872 Å, b = 6.3872 Å, c = 3.8510 Å
α = 90.00°, β = 90.00°, γ = 90.00°
Closest atoms and distances in Å follow each position.
Fractional coordinates of all 4 atoms:
1 K 0.0000 0.0000 0.0000  8 La 3.73, 2 K 3.85
2 La 0.0000 0.5000 0.5000  4 K 3.73, 4 Y 3.73, 2 La 3.85
3 La 0.5000 0.0000 0.5000  4 K 3.73, 4 Y 3.73, 2 La 3.85
4 Y 0.5000 0.5000 0.0000  8 La 3.73, 2 Y 3.85

SG: P4/mmm
D(E_F) in states/eV/cell: 6.32
Calculated density in g cm⁻³: 4.29


Entry R
The following is a PBE calculation of a geometry-optimized KLa2Y structure, from the Alexandria database.

a = 3.7856 Å, b = 6.4996 Å, c = 12.8372 Å
α = 90.00°, β = 90.00°, γ = 90.00°
Closest atoms and distances in Å follow each position.
Fractional coordinates of all 8 atoms:
1 K 0.0000 0.0000 0.0000  6 La 3.76-3.95, 2 K 3.79, 2 Y 3.82
2 K 0.5000 0.5000 0.5000  6 La 3.76-3.95, 2 K 3.79, 2 Y 3.82
3 La 0.0000 0.0000 0.5102  2 Y 3.53, 4 La 3.62-3.79, 4 K 3.76
4 La 0.0000 0.5000 0.7697  4 La 3.62-3.79, 4 Y 3.78, 2 K 3.95
5 La 0.5000 0.0000 0.2697  4 La 3.62-3.79, 4 Y 3.78, 2 K 3.95
6 La 0.5000 0.5000 0.0102  2 Y 3.53, 4 La 3.62-3.79, 4 K 3.76
7 Y 0.0000 0.5000 0.2418  6 La 3.53-3.78, 2 Y 3.79, 2 K 3.82
8 Y 0.5000 0.0000 0.7418  6 La 3.53-3.78, 2 Y 3.79, 2 K 3.82

SG: Imm2
D(E_F) in states/eV/cell: 9.28
Calculated density in g cm⁻³: 4.27


Relative energies in eV/atom: entry P 0.107; entry Q 0.031; entry R 0.000